1.
Sm2HoMgO (GGA-PBE, relaxed); energy = -5.31 eV per atom; SG = P4/mmm (123); N(E_F) = 0.804 states/eV/atom; ΔE_f (raw) = -1.194 eV per atom; calculated density = 7.1 Mg/m³
1.0
4.987 0.000 0.000
0.000 4.987 0.000
0.000 0.000 4.729
Sm Ho Mg O
2 1 1 1
Direct
0.000 0.500 0.000 Sm
0.500 0.000 0.000 Sm
0.000 0.000 0.500 Ho
0.500 0.500 0.500 Mg
0.000 0.000 0.000 O

***

2.
GaFeSb2Cl (GGA-PBE, relaxed); energy = -4.34 eV per atom; SG = P4/mmm (123); N(E_F) = 0.694 states/eV/atom; ΔE_f (raw) = -0.019 eV per atom; calculated density = 6.0 Mg/m³
1.0
4.887 0.000 0.000
0.000 4.887 0.000
0.000 0.000 4.674
Ga Fe Sb Cl
1 1 2 1
Direct
0.000 0.000 0.000 Ga
0.000 0.000 0.500 Fe
0.000 0.500 0.500 Sb
0.500 0.000 0.500 Sb
0.500 0.500 0.000 Cl

***

3.
Sr2Al (GGA-PBE, relaxed); energy = -2.42 eV per atom; SG = Fd-3m (227); N(E_F) = 0.763 states/eV/atom; calculated density = 3.0 Mg/m³; DFT formation energy = -46.8 meV/atom
1.0
0.000 7.669 7.669
7.669 0.000 7.669
7.669 7.669 0.000
Sr Al
16 8
Direct
0.000 0.000 0.000 Sr
0.000 0.000 0.500 Sr
0.000 0.500 0.000 Sr
0.183 0.183 0.567 Sr
0.183 0.567 0.183 Sr
0.183 0.567 0.567 Sr
0.433 0.433 0.817 Sr
0.433 0.817 0.433 Sr
0.433 0.817 0.817 Sr
0.500 0.000 0.000 Sr
0.567 0.183 0.183 Sr
0.567 0.183 0.567 Sr
0.567 0.567 0.183 Sr
0.817 0.433 0.433 Sr
0.817 0.433 0.817 Sr
0.817 0.817 0.433 Sr
0.088 0.804 0.804 Al
0.196 0.196 0.196 Al
0.196 0.196 0.912 Al
0.196 0.912 0.196 Al
0.804 0.088 0.804 Al
0.804 0.804 0.088 Al
0.804 0.804 0.804 Al
0.912 0.196 0.196 Al

***

4.
Li2YZrTe4 (GGA-PBE, relaxed); energy = -5.01 eV per atom; SG = P2/m (10); N(E_F) = 0.370 states/eV/atom; ΔE_f (raw) = -1.086 eV per atom; calculated density = 5.4 Mg/m³
1.0
7.280 0.000 0.000
0.000 4.166 0.000
-2.390 0.000 7.117
Li Y Zr Te
2 1 1 4
Direct
0.000 0.000 0.000 Li
0.500 0.500 0.000 Li
0.000 0.500 0.500 Y
0.500 0.000 0.500 Zr
0.259 0.500 0.249 Te
0.262 0.000 0.757 Te
0.738 0.000 0.243 Te
0.741 0.500 0.751 Te

***

5.
As3HCl (GGA-PBE, relaxed); energy = -2.24 eV per atom; SG = Pm-3m (221); excess energy over the best structure of this formula in the dataset = 854 meV/atom; N(E_F) = 1.025 states/eV/atom; calculated density = 3.6 Mg/m³
1.0
4.958 0.000 0.000
0.000 4.958 0.000
0.000 0.000 4.958
As H Cl
3 1 1
Direct
0.000 0.000 0.500 As
0.000 0.500 0.000 As
0.500 0.000 0.000 As
0.500 0.500 0.500 H
0.000 0.000 0.000 Cl

***

6.
Dy3ErHg6 (GGA-PBE, relaxed); energy = -2.44 eV per atom; SG = P2_1/m (11); N(E_F) = 0.649 states/eV/atom; calculated density = 12.4 Mg/m³; DFT formation energy = -424.5 meV/atom
1.0
9.145 0.000 0.000
0.000 5.138 0.000
-3.177 0.000 10.620
Dy Er Hg
6 2 12
Direct
0.017 0.250 0.387 Dy
0.147 0.750 0.204 Dy
0.271 0.250 0.992 Dy
0.729 0.750 0.008 Dy
0.853 0.250 0.796 Dy
0.983 0.750 0.613 Dy
0.439 0.250 0.607 Er
0.561 0.750 0.393 Er
0.035 0.750 0.910 Hg
0.154 0.250 0.700 Hg
0.259 0.750 0.492 Hg
0.341 0.250 0.312 Hg
0.359 0.750 0.804 Hg
0.437 0.750 0.107 Hg
0.563 0.250 0.893 Hg
0.641 0.250 0.196 Hg
0.659 0.750 0.688 Hg
0.741 0.250 0.508 Hg
0.846 0.750 0.300 Hg
0.965 0.250 0.090 Hg

***

7.
CaBiSe2 (GGA-PBE, relaxed); energy = -4.07 eV per atom; SG = R3m (160); N(E_F) = 0.567 states/eV/atom; ΔE_f (raw) = -0.852 eV per atom; calculated density = 5.8 Mg/m³
1.0
2.219 1.281 6.885
-2.219 1.281 6.885
0.000 -2.562 6.885
Ca Bi Se
1 1 2
Direct
0.000 0.000 0.000 Ca
0.170 0.170 0.170 Bi
0.583 0.583 0.583 Se
0.758 0.758 0.758 Se

***

8.
Cs6AuI2 (GGA-PBE, relaxed); energy = -2.01 eV per atom; SG = C2/m (12); N(E_F) = 0.537 states/eV/atom; ΔE_f (raw) = -0.736 eV per atom; calculated density = 3.0 Mg/m³
1.0
11.958 -2.701 0.000
11.958 2.701 0.000
-2.952 0.000 10.790
Cs Au I
6 1 2
Direct
0.000 0.000 0.227 Cs
0.000 0.000 0.773 Cs
0.338 0.338 0.417 Cs
0.340 0.340 0.918 Cs
0.660 0.660 0.082 Cs
0.662 0.662 0.583 Cs
0.500 0.500 0.000 Au
0.169 0.169 0.338 I
0.831 0.831 0.662 I